DFT (PBE) results for Na3Tm2SbTe6 after structural relaxation.

**Space group**: C2/m
**Formation energy (no corrections)**: -97.6 kJ per mole of atoms
**ρ**: 5.624 g cm⁻³

Cell: 7.6441 7.6441 7.9706 Å, 99.20 99.20 120.01°
With the nearest neighbours (Å) after each atom.
Positions (direct):
Na  0.0000  0.0000  0.0000  6 Te 3.27
Na  0.3377  0.6623  0.0000  6 Te 3.24-3.30
Na  0.6623  0.3377  0.0000  6 Te 3.24-3.30
Tm  0.1672  0.8328  0.5000  6 Te 3.07
Tm  0.8328  0.1672  0.5000  6 Te 3.07
Sb  0.5000  0.5000  0.5000  6 Te 3.08-3.09
Te  0.0889  0.4235  0.2710  2 Tm 3.07, 1 Sb 3.09, 3 Na 3.27-3.30
Te  0.2407  0.2407  0.7270  2 Tm 3.07, 1 Sb 3.08, 3 Na 3.24-3.27
Te  0.4235  0.0889  0.2710  2 Tm 3.07, 1 Sb 3.09, 3 Na 3.27-3.30
Te  0.5765  0.9111  0.7290  2 Tm 3.07, 1 Sb 3.09, 3 Na 3.27-3.30
Te  0.7593  0.7593  0.2730  2 Tm 3.07, 1 Sb 3.08, 3 Na 3.24-3.27
Te  0.9111  0.5765  0.7290  2 Tm 3.07, 1 Sb 3.09, 3 Na 3.27-3.30